# 1
Crystalline Tl2In3Pb8 at its relaxed geometry, computed with PBE.

Lattice parameters (Å, degrees): 6.7970 8.9068 8.4788 121.68 102.00 90.00
Fractional positions:
1 Pb 0.4537 0.4249 0.2442
2 In 0.0000 0.1798 0.0000
3 Pb 0.2518 0.7785 0.5570
4 Pb 0.7482 0.2215 0.4430
5 Tl 0.2171 0.1962 0.3925
6 Pb 0.5463 0.1807 0.7558
7 Pb 0.8491 0.5795 0.1590
8 In 0.5000 0.0000 0.0000
9 Pb 0.5463 0.5751 0.7558
10 In 0.0000 0.8202 0.0000
11 Pb 0.4537 0.8193 0.2442
12 Tl 0.7829 0.8038 0.6075
13 Pb 0.1509 0.4205 0.8410

Properties
Space group   C2/m, No. 12
N(E_F)   5.85 states/eV/f.u.
M_tot   0.000 μB/atom
Relative energy among the computed polymorphs   53 meV/atom
Formation energy   0.088 eV per atom

=====

# 2
Crystalline HoTmGeIr at its relaxed geometry, computed with PBE.

Lattice parameters (Å, degrees): 4.0528 4.0734 5.6526 90.00 111.01 90.00
Fractional positions:
1 Ho 0.1386 0.0000 0.2773
2 Tm 0.8574 0.5000 0.7149
3 Ge 0.4239 0.0000 0.8478
4 Ir 0.5800 0.5000 0.1601

Properties
Space group   Amm2, No. 38
N(E_F)   2.34 states/eV/f.u.
M_tot   0.000 μB/atom
Relative energy among the computed polymorphs   0 meV/atom
Formation energy   -0.875 eV per atom

=====

# 3
Crystalline K2ThSnSe5 at its relaxed geometry, computed with PBE.

Lattice parameters (Å, degrees): 4.2845 10.2421 14.2758 90.00 90.00 102.07
Fractional positions:
1 Se 0.9494 0.8989 0.5342
2 K 0.8851 0.7702 0.1725
3 K 0.8740 0.7479 0.8310
4 Se 0.6881 0.3763 0.8869
5 Sn 0.5605 0.1209 0.9207
6 Th 0.2135 0.4270 0.0355
7 Se 0.3006 0.6013 0.6664
8 Se 0.4989 0.9979 0.7717
9 Se 0.5011 0.0021 0.2717
10 Se 0.6994 0.3987 0.1664
11 Se 0.3119 0.6237 0.3869
12 Se 0.0506 0.1011 0.0342
13 Sn 0.4395 0.8791 0.4207
14 Se 0.6531 0.3063 0.5050
15 K 0.1149 0.2298 0.6725
16 Se 0.3469 0.6937 0.0050
17 Th 0.7865 0.5730 0.5355
18 K 0.1260 0.2521 0.3310

Properties
Space group   Cmc2_1, No. 36
N(E_F)   0.93 states/eV/f.u.
M_tot   0.000 μB/atom
Formation energy without anion corrections   -1.13 eV/atom

=====

# 4
Crystalline ReMo2Se at its relaxed geometry, computed with PBE.

Lattice parameters (Å, degrees): 8.7098 8.7098 8.7098 19.28 19.28 19.28
Fractional positions:
1 Re 0.2500 0.2500 0.2500
2 Mo 0.4983 0.4983 0.4983
3 Mo 0.0017 0.0017 0.0017
4 Se 0.7500 0.7500 0.7500

Properties
Space group   R-3m, No. 166
N(E_F)   5.12 states/eV/f.u.
M_tot   0.000 μB/atom
Formation energy without anion corrections   0.24 eV/atom

=====

| no. | total DFT energy (no corrections) (eV for the cell shown) |
| --- | --- |
| 1 | -41.47 |
| 2 | -26.03 |
| 3 | -82.45 |
| 4 | -36.64 |